GdMgZn | GGA-PBE | relaxed

a = 3.653 Å, b = 3.653 Å, c = 12.755 Å
α = 90.00°, β = 90.00°, γ = 120.00°
Fractional coordinates of all 6 atoms:
Gd 0.000 0.000 0.000
Gd 0.333 0.667 0.778
Mg 0.000 0.000 0.306
Mg 0.333 0.667 0.478
Zn 0.000 0.000 0.614
Zn 0.667 0.333 0.168

Calculated values
For the uncorrected energy, the calculation gives -0.1783 Ry/atom. Its volume is 147.43 Å³/cell.



DyZrFe2Ge2C | GGA-PBE | relaxed

a = 5.578 Å, b = 5.578 Å, c = 6.669 Å
α = 124.96°, β = 124.96°, γ = 40.40°
Fractional coordinates of all 7 atoms:
Dy 0.000 0.000 0.000
Zr 0.884 0.884 0.425
Fe 0.243 0.243 0.622
Fe 0.637 0.637 0.796
Ge 0.282 0.282 0.016
Ge 0.600 0.600 0.409
C 0.437 0.437 0.697

Calculated values
For the uncorrected energy, the calculation gives -0.5478 Ry/atom. Its volume is 106.51 Å³/cell.



YBeBiOs | GGA-PBE | relaxed

a = 4.731 Å, b = 4.731 Å, c = 4.731 Å
α = 60.00°, β = 60.00°, γ = 60.00°
Fractional coordinates of all 4 atoms:
Y 0.000 0.000 0.000
Be 0.750 0.750 0.750
Bi 0.250 0.250 0.250
Os 0.500 0.500 0.500

Calculated values
For the uncorrected energy, the calculation gives -0.4468 Ry/atom. Its volume is 74.89 Å³/cell. The energy above the lowest structure with this stoichiometry is 0.0 meV/atom.